Here is a relaxed MnTe2CN crystal from Alexandria. Energies are from PBE-GGA.

abc: 6.220 6.220 2.631
angles: 90.00 90.00 90.00
Site moments in Bohr magnetons follow the coordinates.
Fractional positions:
C1 0.000 0.000 0.000  0.00
Te1 0.000 0.500 0.000  0.03
Te2 0.500 0.000 0.000  0.03
Mn1 0.500 0.500 0.500  4.09
N1 0.000 0.000 0.500  0.00

Values from the calculation:
SG: P4/mmm
Total magnetization (μB/f.u.): 4.6
Energy relative to the elements, uncorrected (meV per atom): 977.4
DOS(E_F) (states/eV per cell): 0.931
Relative energy among the computed polymorphs (meV per atom): 0.0



Here is a relaxed Mn2TeCN crystal from Alexandria. Energies are from PBE-GGA.

abc: 3.641 6.291 3.641
angles: 90.00 90.00 90.00
Site moments in Bohr magnetons follow the coordinates.
Fractional positions:
C1 0.500 0.500 0.500  -0.05
Te1 0.000 0.500 0.000  -0.01
Mn1 0.000 0.000 0.500  2.94
Mn2 0.500 0.000 0.000  2.59
N1 0.000 0.000 0.000  -0.20

Values from the calculation:
SG: P4/mmm
Total magnetization (μB/f.u.): 5.5
Energy relative to the elements, uncorrected (meV per atom): 1187.1
DOS(E_F) (states/eV per cell): 3.816



Here is a relaxed MnTe2CN crystal from Alexandria. Energies are from PBE-GGA.

abc: 5.057 5.057 3.415
angles: 90.00 90.00 90.00
Fractional positions:
C1 0.500 0.500 0.500
Te1 0.000 0.500 0.000
Te2 0.500 0.000 0.000
Mn1 0.000 0.000 0.000
N1 0.000 0.000 0.500

Values from the calculation:
SG: P4/mmm
Total magnetization (μB/f.u.): 0.0
Energy relative to the elements, uncorrected (meV per atom): 1316.4
DOS(E_F) (states/eV per cell): 4.699
Relative energy among the computed polymorphs (meV per atom): 339.0



Here is a relaxed Mn12Zn4CN3 crystal from Alexandria. Energies are from PBE-GGA.

abc: 3.805 3.805 15.634
angles: 90.00 90.00 90.00
Site moments in Bohr magnetons follow the coordinates.
Fractional positions:
Mn1 0.000 0.000 0.126  2.66
Mn2 0.000 0.000 0.375  -2.46
Mn3 0.000 0.000 0.625  -2.46
Mn4 0.000 0.000 0.874  2.66
Mn5 0.000 0.500 0.000  2.16
Mn6 0.000 0.500 0.255  1.77
Mn7 0.000 0.500 0.500  1.60
Mn8 0.000 0.500 0.745  1.77
Mn9 0.500 0.000 0.000  2.16
Mn10 0.500 0.000 0.255  1.77
Mn11 0.500 0.000 0.500  1.60
Mn12 0.500 0.000 0.745  1.77
Zn1 0.500 0.500 0.126  -0.07
Zn2 0.500 0.500 0.378  -0.03
Zn3 0.500 0.500 0.622  -0.03
Zn4 0.500 0.500 0.874  -0.07
C1 0.000 0.000 0.000  -0.16
N1 0.000 0.000 0.254  -0.07
N2 0.000 0.000 0.500  -0.04
N3 0.000 0.000 0.746  -0.07

Values from the calculation:
SG: P4/mmm
Total magnetization (μB/f.u.): 14.6
Energy relative to the elements, uncorrected (meV per atom): -152.8
DOS(E_F) (states/eV per cell): 15.399



Here is a relaxed ZrMn2CN crystal from Alexandria. Energies are from PBE-GGA.

abc: 3.571 4.954 3.571
angles: 90.00 90.00 90.00
Site moments in Bohr magnetons follow the coordinates.
Fractional positions:
C1 0.000 0.500 0.000  0.04
Mn1 0.000 0.000 0.500  2.01
Mn2 0.500 0.000 0.000  1.88
Zr1 0.500 0.500 0.500  -0.19
N1 0.000 0.000 0.000  -0.18

Values from the calculation:
SG: P4/mmm
Total magnetization (μB/f.u.): 3.6
Energy relative to the elements, uncorrected (meV per atom): 309.2
DOS(E_F) (states/eV per cell): 4.036



Here is a relaxed NaMn3C crystal from Alexandria. Energies are from PBE-GGA.

abc: 4.008 4.008 4.008
angles: 90.00 90.00 90.00
Site moments in Bohr magnetons follow the coordinates.
Fractional positions:
Na1 0.500 0.500 0.500  -0.04
C1 0.000 0.000 0.000  -0.20
Mn1 0.000 0.500 0.000  2.71
Mn2 0.000 0.000 0.500  2.87
Mn3 0.500 0.000 0.000  2.38

Values from the calculation:
SG: Pm-3m
Total magnetization (μB/f.u.): 7.9
DOS(E_F) (states/eV per cell): 3.133
Relative energy among the computed polymorphs (meV per atom): 0.0
Energy of formation (kcal/mol of atoms): 10.11



Here is a relaxed Na2Mn2C crystal from Alexandria. Energies are from PBE-GGA.

abc: 6.095 6.095 4.844
angles: 90.00 90.00 90.00
Site moments in Bohr magnetons follow the coordinates.
Fractional positions:
Na1 0.353 0.853 0.000  -0.01
Na2 0.853 0.647 0.000  -0.01
Na3 0.647 0.147 0.000  -0.01
Na4 0.147 0.353 0.000  -0.01
C1 0.000 0.000 0.000  -0.32
C2 0.500 0.500 0.000  -0.32
Mn1 0.176 0.676 0.500  4.01
Mn2 0.676 0.824 0.500  4.01
Mn3 0.824 0.324 0.500  4.01
Mn4 0.324 0.176 0.500  4.01

Values from the calculation:
SG: P4/mbm
Total magnetization (μB/f.u.): 7.9
DOS(E_F) (states/eV per cell): 5.254
Relative energy among the computed polymorphs (meV per atom): 214.7
Energy of formation (kcal/mol of atoms): 37.25



Here is a relaxed Na2MnC crystal from Alexandria. Energies are from PBE-GGA.

abc: 10.345 10.345 7.557
angles: 46.81 46.81 90.00
Site moments in Bohr magnetons follow the coordinates.
Fractional positions:
Na1 0.405 0.125 0.250  0.00
Na2 0.345 0.625 0.250  0.00
Na3 0.375 0.595 0.750  0.00
Na4 0.875 0.655 0.750  -0.01
C1 0.500 0.500 0.000  -0.26
C2 0.250 0.750 0.500  -0.26
Mn1 0.000 0.000 0.000  3.16
Mn2 0.750 0.250 0.500  3.16

Values from the calculation:
SG: I-42d
Total magnetization (μB/f.u.): 3.0
DOS(E_F) (states/eV per cell): 3.534
Energy of formation (kcal/mol of atoms): 14.21



Here is a relaxed NaMn3C crystal from Alexandria. Energies are from PBE-GGA.

abc: 4.709 4.709 4.709
angles: 90.00 90.00 90.00
Site moments in Bohr magnetons follow the coordinates.
Fractional positions:
Na1 0.000 0.000 0.000  -0.03
C1 0.500 0.500 0.500  -0.52
Mn1 0.000 0.500 0.000  3.85
Mn2 0.000 0.000 0.500  3.93
Mn3 0.500 0.000 0.000  3.97

Values from the calculation:
SG: Pm-3m
Total magnetization (μB/f.u.): 11.5
DOS(E_F) (states/eV per cell): 6.362
Relative energy among the computed polymorphs (meV per atom): 2401.0
Energy of formation (kcal/mol of atoms): 65.47



Here is a relaxed Na2Mn2C crystal from Alexandria. Energies are from PBE-GGA.

abc: 3.071 3.071 9.113
angles: 80.30 80.30 90.00
Site moments in Bohr magnetons follow the coordinates.
Fractional positions:
Na1 0.414 0.414 0.173  0.01
Na2 0.586 0.586 0.827  0.01
C1 0.000 0.000 0.000  0.37
Mn1 0.750 0.250 0.500  0.62
Mn2 0.250 0.750 0.500  0.62

Values from the calculation:
SG: I4/mmm
Total magnetization (μB/f.u.): 2.2
DOS(E_F) (states/eV per cell): 3.833
Relative energy among the computed polymorphs (meV per atom): 0.0
Energy of formation (kcal/mol of atoms): 32.30



Which of these has the lowest total magnetization? number 3